1.
# AsRuSe

A relaxed structure of AsRuSe (GGA-PBE, Alexandria via LeMat-Bulk).

Cell lengths 6.1279, 6.1601, 6.2489 Å; angles 113.08, 90.00, 90.00 degrees
Atoms (fractional coordinates):
Se  0.1312  0.3394  0.9339
Se  0.1259  0.8463  0.3783
Se  0.6259  0.1537  0.6217
Se  0.6312  0.6606  0.0661
As  0.8645  0.6548  0.5733
As  0.8703  0.1489  0.1266
As  0.3703  0.8511  0.8734
As  0.3645  0.3452  0.4267
Ru  0.0061  0.2742  0.5423
Ru  0.5061  0.7258  0.4577
Ru  0.5058  0.2758  0.0432
Ru  0.0058  0.7242  0.9568

**Electronic total energy**: -18.7 eV per formula unit
**Magnetic moment**: 0.000 μB/cell
**Space-group type**: No. 4
**Energy relative to the elements, uncorrected**: -42.3 kJ/mol of atoms

2.
# Y2TaSi

A relaxed structure of Y2TaSi (GGA-PBE, Alexandria via LeMat-Bulk).

Cell lengths 3.2637, 3.9288, 7.0634 Å; angles 90.00, 90.00, 90.00 degrees
Atoms (fractional coordinates):
Si  0.5000  0.5000  0.2500
Ta  0.5000  0.5000  0.7500
Y  0.0000  0.0000  0.0164
Y  0.0000  0.0000  0.4836

**Electronic total energy**: -30.2 eV per formula unit
**D(E_F)**: 4.757 states/eV per cell
**Magnetic moment**: 0.000 μB/cell
**Space-group type**: No. 47
**Energy relative to the elements, uncorrected**: 1.2 kJ/mol of atoms

3.
# Y2NbRh2

A relaxed structure of Y2NbRh2 (GGA-PBE, Alexandria via LeMat-Bulk).

Cell lengths 6.8408, 6.8408, 4.5375 Å; angles 90.00, 90.00, 90.00 degrees
Atoms (fractional coordinates):
Y  0.1728  0.6728  0.5000
Y  0.6728  0.8272  0.5000
Y  0.8272  0.3272  0.5000
Y  0.3272  0.1728  0.5000
Nb  0.0000  0.0000  0.0000
Nb  0.5000  0.5000  0.0000
Rh  0.3578  0.8578  0.0000
Rh  0.8578  0.6422  0.0000
Rh  0.6422  0.1422  0.0000
Rh  0.1422  0.3578  0.0000

**Electronic total energy**: -40.2 eV per formula unit
**D(E_F)**: 12.091 states/eV per cell
**Magnetic moment**: 0.000 μB/cell
**Space-group type**: No. 127
**Formation enthalpy at 0 K**: -0.50 eV per atom

4.
# HoTa2Fe9

A relaxed structure of HoTa2Fe9 (GGA-PBE, Alexandria via LeMat-Bulk).

Cell lengths 4.8925, 4.8925, 8.3464 Å; angles 72.96, 72.96, 60.00 degrees
Site moments in Bohr magnetons follow the coordinates.
Atoms (fractional coordinates):
Ho  0.0000  0.0000  0.0000  -0.32
Ta  0.8561  0.8561  0.4317  -0.43
Ta  0.1439  0.1439  0.5683  -0.43
Fe  0.6665  0.6665  0.0005  2.29
Fe  0.3335  0.3335  0.9995  2.29
Fe  0.5000  0.5000  0.5000  1.76
Fe  0.4114  0.4114  0.2594  1.85
Fe  0.9178  0.4114  0.2594  1.85
Fe  0.4114  0.9178  0.2594  1.85
Fe  0.5886  0.5886  0.7406  1.85
Fe  0.5886  0.0822  0.7406  1.85
Fe  0.0822  0.5886  0.7406  1.85

**Electronic total energy**: -106.2 eV per formula unit
**D(E_F)**: 10.473 states/eV per cell
**Magnetic moment**: 15.840 μB/cell
**Space-group type**: No. 166
**Formation enthalpy at 0 K**: -0.15 eV per atom

5.
# Ag2SnTeS2

A relaxed structure of Ag2SnTeS2 (GGA-PBE, Alexandria via LeMat-Bulk).

Cell lengths 7.1528, 7.4553, 7.3028 Å; angles 120.69, 90.00, 90.00 degrees
Atoms (fractional coordinates):
Ag  0.8287  0.8332  0.3634
Ag  0.8287  0.4698  0.6366
Ag  0.3287  0.5302  0.3634
Ag  0.3287  0.1668  0.6366
Sn  0.2726  0.8081  0.0000
Sn  0.7726  0.1919  0.0000
Te  0.6716  0.8243  0.0000
Te  0.1716  0.1757  0.0000
S  0.1858  0.8304  0.3312
S  0.1858  0.4991  0.6688
S  0.6858  0.1696  0.6688
S  0.6858  0.5009  0.3312

**Electronic total energy**: -22.2 eV per formula unit
**D(E_F)**: 0.744 states/eV per cell
**Magnetic moment**: 0.000 μB/cell
**Space-group type**: No. 36
**Energy relative to the elements, uncorrected**: -17.5 kJ/mol of atoms

6.
# KNa5Se3

A relaxed structure of KNa5Se3 (GGA-PBE, Alexandria via LeMat-Bulk).

Cell lengths 4.7405, 8.3581, 13.2518 Å; angles 90.00, 90.00, 106.47 degrees
Atoms (fractional coordinates):
K  0.8647  0.7294  0.7500
K  0.1353  0.2706  0.2500
Na  0.8049  0.6097  0.4307
Na  0.1951  0.3903  0.9307
Na  0.0000  0.0000  0.5000
Na  0.0000  0.0000  0.0000
Na  0.4556  0.9113  0.1380
Na  0.5444  0.0887  0.8620
Na  0.5444  0.0887  0.6380
Na  0.8049  0.6097  0.0693
Na  0.1951  0.3903  0.5693
Na  0.4556  0.9113  0.3620
Se  0.3745  0.7489  0.9460
Se  0.9176  0.8352  0.2500
Se  0.3745  0.7489  0.5540
Se  0.6255  0.2511  0.4460
Se  0.0824  0.1648  0.7500
Se  0.6255  0.2511  0.0540

**Electronic total energy**: -27.4 eV per formula unit
**D(E_F)**: 0.000 states/eV per cell
**Magnetic moment**: 0.000 μB/cell
**Space-group type**: No. 63
**Energy relative to the elements, uncorrected**: -99.4 kJ/mol of atoms